i:
5
Lattice="4.472 0.000 0.000 -2.225 5.318 0.000 -0.063 -2.278 6.606" Properties=species:S:1:pos:R:3 comment="AgAuCS2, relaxed, DFT PBE" sg="No. 1" magmom_total_mub_per_fu=0.00 pbc="T T T"
Ag 0.000 0.000 0.000
Au -0.065 0.612 6.097
C -0.077 -0.818 4.774
S 0.012 4.728 0.840
S 2.154 3.792 3.402



ii:
5
Lattice="3.842 0.000 0.000 0.203 4.807 0.000 0.157 0.546 5.033" Properties=species:S:1:pos:R:3 comment="AgAuCS2, relaxed, DFT PBE" sg="No. 1" magmom_total_mub_per_fu=0.00 dos_ef_per_ev_atom=0.35 pbc="T T T"
Ag 0.000 0.000 0.000
Au 2.210 2.618 0.542
C 1.899 0.493 0.974
S 1.962 0.388 2.663
S 2.665 3.210 3.035



Which is less stable than every other structure shown? ii is.